Entry 1:
# Na3BSbPO7

A crystal of Na3BSbPO7 relaxed with PBEsol (SCAN, Alexandria via LeMat-Bulk).

Lattice parameters (Å, degrees): 5.4078 6.8017 9.3198 90.00 93.84 90.00
Closest atoms and distances in Å follow each position.
Element x y z (fractional)
P 0.7399 0.7500 0.3967  4 O 1.52-1.57
P 0.2601 0.2500 0.6033  4 O 1.52-1.57
O 0.4593 0.7500 0.3779  1 P 1.52
O 0.2354 0.7500 0.0709  1 B 1.33
O 0.5407 0.2500 0.6221  1 P 1.52
O 0.9692 0.2500 0.1666  1 B 1.43
O 0.8229 0.7500 0.5614  1 P 1.57
O 0.8532 0.5705 0.3191  1 P 1.57
O 0.8532 0.9295 0.3191  1 P 1.57
O 0.1468 0.0705 0.6809  1 P 1.57
O 0.4654 0.7500 0.8527  1 B 1.40
O 0.1771 0.2500 0.4386  1 P 1.57
O 0.0308 0.7500 0.8334  1 B 1.43
O 0.7646 0.2500 0.9291  1 B 1.33
O 0.1468 0.4295 0.6809  1 P 1.57
O 0.5346 0.2500 0.1473  1 B 1.40
Na 0.2608 0.9933 0.2428  5 O 2.30-2.49
Na 0.7392 0.4933 0.7572  5 O 2.30-2.49
Na 0.2200 0.2500 0.9363  5 O 2.46-2.68
Na 0.7392 0.0067 0.7572  5 O 2.30-2.49
Na 0.2608 0.5067 0.2428  5 O 2.30-2.49
Na 0.7800 0.7500 0.0637  5 O 2.46-2.68
Sb 0.2129 0.7500 0.6485  5 O 2.04-2.27
Sb 0.7871 0.2500 0.3515  5 O 2.04-2.27
B 0.2497 0.7500 0.9287  3 O 1.33-1.43
B 0.7503 0.2500 0.0713  3 O 1.33-1.43

Values from the calculation:
As for the symmetry: No. 11.

Entry 2:
# AgPbAu2

A crystal of AgPbAu2 relaxed with PBEsol (SCAN, Alexandria via LeMat-Bulk).

Lattice parameters (Å, degrees): 3.7488 4.6165 4.6165 100.95 90.03 90.03
Closest atoms and distances in Å follow each position.
Element x y z (fractional)
Ag 0.5000 0.5000 0.5000  2 Pb 2.94, 8 Au 2.97
Au 0.0000 0.5000 0.0000  2 Au 2.94, 4 Ag 2.97, 4 Pb 2.97
Au 0.0000 0.0000 0.5000  2 Au 2.94, 4 Pb 2.97, 4 Ag 2.97
Pb 0.5000 0.0000 0.0000  2 Ag 2.94, 8 Au 2.97

Values from the calculation:
Its formation energy is 0.0502 eV per atom. As for the symmetry: No. 65.

Entry 3:
# FeSiTc2

A crystal of FeSiTc2 relaxed with PBEsol (SCAN, Alexandria via LeMat-Bulk).

Lattice parameters (Å, degrees): 2.9234 4.1016 4.8358 115.09 107.59 90.00
Closest atoms and distances in Å follow each position.
Element x y z (fractional)
Fe 0.5170 0.5170 0.0340  2 Si 2.35, 6 Tc 2.53-2.61
Tc 0.7546 0.2546 0.5093  4 Si 2.52, 2 Fe 2.61, 4 Tc 2.64-2.82
Tc 0.9884 0.9884 0.9768  2 Si 2.52, 4 Fe 2.53, 4 Tc 2.64-2.82
Si 0.2400 0.7400 0.4799  2 Fe 2.35, 6 Tc 2.52

Values from the calculation:
As for the symmetry: No. 44.

Entry 4:
# Zn2GePdCl

A crystal of Zn2GePdCl relaxed with PBEsol (SCAN, Alexandria via LeMat-Bulk).

Lattice parameters (Å, degrees): 4.5570 4.5570 4.8564 90.00 90.00 90.00
Closest atoms and distances in Å follow each position.
Element x y z (fractional)
Zn 0.0000 0.5000 0.0000  2 Cl 2.28
Zn 0.5000 0.0000 0.0000  2 Cl 2.28
Pd 0.5000 0.5000 0.5000  4 Ge 3.22, 8 Zn 3.33
Ge 0.0000 0.0000 0.5000  2 Cl 2.43
Cl 0.0000 0.0000 0.0000  4 Zn 2.28, 2 Ge 2.43

Values from the calculation:
As for the symmetry: No. 123.

Entry 5:
# Tl2HgIrI

A crystal of Tl2HgIrI relaxed with PBEsol (SCAN, Alexandria via LeMat-Bulk).

Lattice parameters (Å, degrees): 5.4992 6.2087 6.2087 90.00 90.00 90.00
Closest atoms and distances in Å follow each position.
Element x y z (fractional)
Hg 0.5000 0.0000 0.0000  2 I 2.75
Tl 0.0000 0.0000 0.5000  2 I 3.10
Tl 0.0000 0.5000 0.0000  2 I 3.10
I 0.0000 0.0000 0.0000  2 Hg 2.75
Ir 0.5000 0.5000 0.5000  8 Tl 4.15, 4 Hg 4.39

Values from the calculation:
As for the symmetry: No. 123.

Entry 6:
# Sr3MgO

A crystal of Sr3MgO relaxed with PBEsol (SCAN, Alexandria via LeMat-Bulk).

Lattice parameters (Å, degrees): 5.2463 5.2463 5.2463 90.00 90.00 90.00
Closest atoms and distances in Å follow each position.
Element x y z (fractional)
Sr 0.0000 0.0000 0.5000  2 O 2.62
Sr 0.0000 0.5000 0.0000  2 O 2.62
Sr 0.5000 0.0000 0.0000  2 O 2.62
O 0.0000 0.0000 0.0000  6 Sr 2.62
Mg 0.5000 0.5000 0.5000  12 Sr 3.71

Values from the calculation:
As for the symmetry: No. 221.

Entry 7:
# SrIn2As

A crystal of SrIn2As relaxed with PBEsol (SCAN, Alexandria via LeMat-Bulk).

Lattice parameters (Å, degrees): 3.9877 4.6769 6.3097 111.75 90.00 90.00
Closest atoms and distances in Å follow each position.
Element x y z (fractional)
As 0.5000 0.3510 0.7020  3 In 2.85-2.87, 4 Sr 3.11
In 0.0000 0.1744 0.3488  2 As 2.87, 4 In 3.21
In 0.5000 0.5939 0.1878  1 As 2.85
Sr 0.0000 0.8923 0.7847  4 As 3.11, 3 In 3.31-3.46

Values from the calculation:
Its formation energy is -0.5613 eV per atom. As for the symmetry: No. 38.

Entry 8:
# Li3HgO

A crystal of Li3HgO relaxed with PBEsol (SCAN, Alexandria via LeMat-Bulk).

Lattice parameters (Å, degrees): 3.9874 3.9874 3.9874 90.00 90.00 90.00
Closest atoms and distances in Å follow each position.
Element x y z (fractional)
Li 0.5000 0.0000 0.0000  2 O 1.99
Li 0.0000 0.5000 0.0000  2 O 1.99
Li 0.0000 0.0000 0.5000  2 O 1.99
O 0.0000 0.0000 0.0000  6 Li 1.99
Hg 0.5000 0.5000 0.5000  12 Li 2.82

Values from the calculation:
As for the symmetry: No. 221.

no.,final energy (eV per atom),calculated density (g/cm3)
1,-10.787,3.345
2,-61.315,15.009
3,-24.872,9.390
4,-16.509,5.686
5,-62.759,7.273
6,-16.764,3.486
7,-27.871,5.958
8,-17.483,6.218